1.
Compound: MgFeAs2O6
Source: Alexandria
Functional: PBE with a Hubbard U
Structure: relaxed

Cell: 6.6163 6.6163 7.0540 Å, 109.40 109.40 77.72°
With the nearest neighbours (Å) after each atom.
Positions (direct):
Mg (0.2443, 0.7557, 0.7500)  6 O 2.03-2.25
Mg (0.7557, 0.2443, 0.2500)  6 O 2.03-2.25
Fe (0.3738, 0.6262, 0.2500)  4 O 2.05-2.15
Fe (0.6262, 0.3738, 0.7500)  4 O 2.05-2.15
As (0.1404, 0.2332, 0.6411)  3 O 1.76-1.80
As (0.2332, 0.1404, 0.1411)  3 O 1.76-1.80
As (0.7668, 0.8596, 0.8589)  3 O 1.76-1.80
As (0.8596, 0.7668, 0.3589)  3 O 1.76-1.80
O (0.0945, 0.2081, 0.3393)  2 As 1.80-2.00
O (0.1396, 0.6863, 0.3984)  1 As 1.77
O (0.2081, 0.0945, 0.8393)  2 As 1.80-2.00
O (0.3000, 0.4486, 0.7712)  1 As 1.76
O (0.3137, 0.8604, 0.1016)  1 As 1.77
O (0.4486, 0.3000, 0.2712)  1 As 1.76
O (0.5514, 0.7000, 0.7288)  1 As 1.76
O (0.6863, 0.1396, 0.8984)  1 As 1.77
O (0.7000, 0.5514, 0.2288)  1 As 1.76
O (0.7919, 0.9055, 0.1607)  2 As 1.80-2.00
O (0.8604, 0.3137, 0.6016)  1 As 1.77
O (0.9055, 0.7919, 0.6607)  2 As 1.80-2.00

2.
Compound: MgFe2AsO4
Source: Alexandria
Functional: PBE with a Hubbard U
Structure: relaxed

Cell: 6.0347 6.0347 6.2633 Å, 114.57 114.57 90.58°
With the nearest neighbours (Å) after each atom.
Positions (direct):
Mg (0.0000, 0.5000, 0.0000)  4 O 2.08-2.24
Mg (0.5000, 0.0000, 0.5000)  4 O 2.08-2.24
Fe (0.0000, 0.0000, 0.0000)  6 O 2.04-2.20
Fe (0.0000, 0.0000, 0.5000)  6 O 2.04-2.20
Fe (0.0000, 0.5000, 0.5000)  4 O 2.17
Fe (0.5000, 0.0000, 0.0000)  4 O 2.17
As (0.5000, 0.5000, 0.0000)  4 O 2.11-2.17
As (0.5000, 0.5000, 0.5000)  4 O 2.11-2.17
O (0.2046, 0.2124, 0.4000)  3 Fe 2.04-2.20, 1 As 2.17, 1 Mg 2.24
O (0.2124, 0.2046, 0.9000)  3 Fe 2.04-2.20, 1 As 2.17, 1 Mg 2.24
O (0.2527, 0.7434, 0.4845)  1 Mg 2.08, 1 As 2.11, 2 Fe 2.17-2.19
O (0.2566, 0.7473, 0.0155)  1 Mg 2.08, 1 As 2.11, 2 Fe 2.17-2.19
O (0.7434, 0.2527, 0.9845)  1 Mg 2.08, 1 As 2.11, 2 Fe 2.17-2.19
O (0.7473, 0.2566, 0.5155)  1 Mg 2.08, 1 As 2.11, 2 Fe 2.17-2.19
O (0.7876, 0.7954, 0.1000)  3 Fe 2.04-2.20, 1 As 2.17, 1 Mg 2.24
O (0.7954, 0.7876, 0.6000)  3 Fe 2.04-2.20, 1 As 2.17, 1 Mg 2.24

3.
Compound: Sr4MgTiFe2As2O6
Source: Alexandria
Functional: PBE with a Hubbard U
Structure: relaxed

Cell: 4.0154 4.0154 16.7903 Å, 90.00 90.00 90.00°
With the nearest neighbours (Å) after each atom.
Positions (direct):
Sr (0.0000, 0.0000, 0.0000)  9 O 2.68-2.93
Sr (0.0000, 0.0000, 0.1922)  4 O 2.48
Sr (0.5000, 0.5000, 0.6020)  4 O 2.62
Sr (0.5000, 0.5000, 0.8286)  1 O 2.23
Mg (0.5000, 0.5000, 0.0852)  5 O 2.04-2.07
Ti (0.0000, 0.0000, 0.7193)  1 O 1.78
Fe (0.0000, 0.5000, 0.4127)  4 As 2.58-2.63, 4 Fe 2.84
Fe (0.5000, 0.0000, 0.4127)  4 As 2.58-2.63, 4 Fe 2.84
As (0.0000, 0.0000, 0.5143)  4 Fe 2.63
As (0.5000, 0.5000, 0.3166)  4 Fe 2.58
O (0.0000, 0.0000, 0.8255)  1 Ti 1.78
O (0.0000, 0.5000, 0.1060)  2 Mg 2.04
O (0.0000, 0.5000, 0.7022)  2 Ti 2.03
O (0.5000, 0.0000, 0.1060)  2 Mg 2.04
O (0.5000, 0.0000, 0.7022)  2 Ti 2.03
O (0.5000, 0.5000, 0.9616)  1 Mg 2.07, 1 Sr 2.23

Let's list E_tot in order: -6.06, -6.00, -6.20 eV/atom.